VASP calculation (GGA+U) on an optimized crystal structure of RbPrCoO4.

a = 5.7322 Å, b = 5.9596 Å, c = 7.7046 Å
α = 90.00°, β = 104.28°, γ = 90.00°
Closest atoms and distances in Å follow each position.
Fractional coordinates of all 14 atoms:
1 Rb 0.1703 0.2500 0.0890  1 O 2.76
2 Rb 0.8297 0.7500 0.9110  1 O 2.76
3 Pr 0.1929 0.7500 0.4706  6 O 2.39-2.50
4 Pr 0.8071 0.2500 0.5294  6 O 2.39-2.50
5 Co 0.3556 0.2500 0.6835  4 O 1.77-1.82
6 Co 0.6444 0.7500 0.3165  4 O 1.77-1.82
7 O 0.1540 0.0166 0.6943  1 Co 1.82
8 O 0.1540 0.4834 0.6943  1 Co 1.82
9 O 0.3387 0.7500 0.1953  1 Co 1.77
10 O 0.3763 0.2500 0.4534  1 Co 1.81
11 O 0.6237 0.7500 0.5466  1 Co 1.81
12 O 0.6613 0.2500 0.8047  1 Co 1.77
13 O 0.8460 0.5166 0.3057  1 Co 1.82
14 O 0.8460 0.9834 0.3057  1 Co 1.82

Summary:
VASP energy ... -6.2264 eV per atom